Entry 1:
# NpAgHg | Alexandria via LeMat-Bulk | PBE | relaxed
data_NpAgHg
_chemical_formula_sum 'Np1 Ag1 Hg1'
_cell_length_a 2.943
_cell_length_b 5.090
_cell_length_c 5.090
_cell_angle_alpha 120.00
_cell_angle_beta 90.00
_cell_angle_gamma 90.00
_symmetry_space_group_name_H-M 'P 1'
_symmetry_Int_Tables_number 1
_symmetry_space_group_name_Hall 'P 1'
loop_
_atom_site_label
_atom_site_type_symbol
_atom_site_fract_x
_atom_site_fract_y
_atom_site_fract_z
Np1 Np 0.667 0.333 0.667
Hg1 Hg 0.167 0.667 0.333
Ag1 Ag 0.167 0.000 0.000
# energy relative to the lowest polymorph listed for this composition	0	meV per atom

Entry 2:
# TeP2Pb2 | Alexandria via LeMat-Bulk | PBE | relaxed
data_TeP2Pb2
_chemical_formula_sum 'Te1 P2 Pb2'
_cell_length_a 3.799
_cell_length_b 3.799
_cell_length_c 9.383
_cell_angle_alpha 78.32
_cell_angle_beta 78.32
_cell_angle_gamma 90.00
_symmetry_space_group_name_H-M 'P 1'
_symmetry_Int_Tables_number 1
_symmetry_space_group_name_Hall 'P 1'
loop_
_atom_site_label
_atom_site_type_symbol
_atom_site_fract_x
_atom_site_fract_y
_atom_site_fract_z
Pb1 Pb 0.386 0.386 0.228
Pb2 Pb 0.614 0.614 0.772
P1 P 0.750 0.250 0.500
P2 P 0.250 0.750 0.500
Te1 Te 0.000 0.000 0.000
# E_form (uncorrected)	122	meV/atom
# energy relative to the lowest polymorph listed for this composition	0	meV per atom

Entry 3:
# BaScAsBr2 | Alexandria via LeMat-Bulk | PBE | relaxed
data_BaScAsBr2
_chemical_formula_sum 'Ba1 Sc1 As1 Br2'
_cell_length_a 5.974
_cell_length_b 5.974
_cell_length_c 6.276
_cell_angle_alpha 90.00
_cell_angle_beta 90.00
_cell_angle_gamma 90.00
_symmetry_space_group_name_H-M 'P 1'
_symmetry_Int_Tables_number 1
_symmetry_space_group_name_Hall 'P 1'
loop_
_atom_site_label
_atom_site_type_symbol
_atom_site_fract_x
_atom_site_fract_y
_atom_site_fract_z
Sc1 Sc 0.500 0.500 0.500
As1 As 0.000 0.000 0.500
Ba1 Ba 0.000 0.000 0.000
Br1 Br 0.000 0.500 0.000
Br2 Br 0.500 0.000 0.000
# E_form (uncorrected)	-218	meV/atom
# energy relative to the lowest polymorph listed for this composition	1187	meV per atom

Entry 4:
# Be3NbMo | Alexandria via LeMat-Bulk | PBE | relaxed
data_Be3NbMo
_chemical_formula_sum 'Be3 Nb1 Mo1'
_cell_length_a 4.121
_cell_length_b 4.121
_cell_length_c 4.121
_cell_angle_alpha 90.00
_cell_angle_beta 90.00
_cell_angle_gamma 90.00
_symmetry_space_group_name_H-M 'P 1'
_symmetry_Int_Tables_number 1
_symmetry_space_group_name_Hall 'P 1'
loop_
_atom_site_label
_atom_site_type_symbol
_atom_site_fract_x
_atom_site_fract_y
_atom_site_fract_z
Be1 Be 0.000 0.500 0.000
Be2 Be 0.000 0.000 0.500
Be3 Be 0.500 0.000 0.000
Mo1 Mo 0.000 0.000 0.000
Nb1 Nb 0.500 0.500 0.500
# energy relative to the lowest polymorph listed for this composition	0	meV per atom